## Mg (PBE)

Data for Mg after structural relaxation.

Cell: 5.871 5.871 5.889 Å, 59.83 59.83 59.94°
Atoms (fractional coordinates):
Mg 0.459 0.792 0.625
Mg 0.208 0.541 0.375
Mg 0.333 0.170 0.000
Mg 0.830 0.667 0.000
Mg 0.833 0.167 0.500
Mg 0.836 0.164 0.000

Computed properties:
V	23.845	Å³ per atom
space-group type	C2, No. 5
E_tot	-1.51	eV/atom
energy above the most stable polymorph in this dataset	0.083	eV per formula unit